1.
An optimized crystal structure of Mn2Pd2Rh. Source: Alexandria, functional PBE.

Cell lengths 7.1784, 7.1784, 2.6884 Å; angles 90.00, 90.00, 90.00 degrees
Space group P4/mbm (No. 127)
Inequivalent atoms, fractional coordinates:
Mn  0.1713  0.3287  0.0000 x4
Pd  0.1283  0.6283  0.5000 x4
Rh  0.0000  0.0000  0.5000 x2

Summary:
Energy of formation = 0.4723 eV/atom
Magnetic moment = 0.00 Bohr magnetons per cell
Total DFT energy (no corrections) = -6.74 eV/atom



2.
An optimized crystal structure of MnPdRh2. Source: Alexandria, functional PBE.

Cell lengths 6.8010, 6.8010, 5.2019 Å; angles 90.00, 90.00, 90.00 degrees
Space group I-42d (No. 122)
Inequivalent atoms, fractional coordinates:
Mn  0.0000  0.0000  0.0000 x4
Pd  0.0000  0.0000  0.5000 x4
Rh  0.2005  0.2500  0.1250 x8

Summary:
Energy of formation = 0.3744 eV/atom
Magnetic moment = 0.00 Bohr magnetons per cell
Total DFT energy (no corrections) = -6.89 eV/atom